1.
A plane-wave DFT calculation with PBE was carried out for crystalline SrInIr2 at its relaxed geometry.

a b c (Å): 4.842 4.842 4.842
angles (deg): 60.00 60.00 60.00
Atoms (fractional coordinates):
Sr 0.000 0.000 0.000
In 0.750 0.750 0.750
Ir 0.250 0.250 0.250
Ir 0.500 0.500 0.500

Density in g cm⁻³: 12.1
E_form in meV per atom: 391



2.
A plane-wave DFT calculation with PBE was carried out for crystalline SrInIr2 at its relaxed geometry.

a b c (Å): 4.499 4.499 3.880
angles (deg): 90.00 90.00 90.00
Atoms (fractional coordinates):
Sr 0.000 0.000 0.000
In 0.500 0.500 0.000
Ir 0.000 0.500 0.500
Ir 0.500 0.000 0.500

Density in g cm⁻³: 12.4
E_form in meV per atom: 157



3.
A plane-wave DFT calculation with PBE was carried out for crystalline SrIn8Ir2 at its relaxed geometry.

a b c (Å): 14.109 16.392 4.445
angles (deg): 90.00 90.00 90.00
Atoms (fractional coordinates):
Sr 0.157 0.180 0.000
Sr 0.343 0.680 0.000
Sr 0.657 0.320 0.000
Sr 0.843 0.820 0.000
In 0.000 0.000 0.000
In 0.000 0.500 0.500
In 0.020 0.866 0.500
In 0.051 0.316 0.500
In 0.101 0.747 0.000
In 0.160 0.456 0.000
In 0.167 0.622 0.500
In 0.170 0.012 0.500
In 0.240 0.823 0.500
In 0.260 0.323 0.500
In 0.330 0.512 0.500
In 0.333 0.122 0.500
In 0.340 0.956 0.000
In 0.399 0.247 0.000
In 0.449 0.816 0.500
In 0.480 0.366 0.500
In 0.500 0.000 0.500
In 0.500 0.500 0.000
In 0.520 0.634 0.500
In 0.551 0.184 0.500
In 0.601 0.753 0.000
In 0.660 0.044 0.000
In 0.667 0.878 0.500
In 0.670 0.488 0.500
In 0.740 0.677 0.500
In 0.760 0.177 0.500
In 0.830 0.988 0.500
In 0.833 0.378 0.500
In 0.840 0.544 0.000
In 0.899 0.253 0.000
In 0.949 0.684 0.500
In 0.980 0.134 0.500
Ir 0.034 0.596 0.000
Ir 0.154 0.904 0.000
Ir 0.346 0.404 0.000
Ir 0.466 0.096 0.000
Ir 0.534 0.904 0.000
Ir 0.654 0.596 0.000
Ir 0.846 0.096 0.000
Ir 0.966 0.404 0.000

Polymorph energy (0 for the lowest one) in meV per atom: 0
Density in g cm⁻³: 9.0
E_form in meV per atom: -255



4.
A plane-wave DFT calculation with PBE was carried out for crystalline Sr6InIr2 at its relaxed geometry.

a b c (Å): 9.299 9.299 9.299
angles (deg): 112.88 112.05 103.63
Atoms (fractional coordinates):
Sr 0.022 0.232 0.789
Sr 0.183 0.289 0.473
Sr 0.183 0.711 0.894
Sr 0.325 0.017 0.691
Sr 0.325 0.634 0.309
Sr 0.443 0.232 0.211
Sr 0.557 0.768 0.789
Sr 0.675 0.366 0.691
Sr 0.675 0.983 0.309
Sr 0.817 0.289 0.106
Sr 0.817 0.711 0.527
Sr 0.978 0.768 0.211
In 0.000 0.000 0.000
In 0.500 0.500 0.000
Ir 0.112 0.612 0.500
Ir 0.372 0.000 0.372
Ir 0.628 0.000 0.628
Ir 0.888 0.388 0.500

Density in g cm⁻³: 5.5
E_form in meV per atom: -215



5.
A plane-wave DFT calculation with PBE was carried out for crystalline SrInIr at its relaxed geometry.

a b c (Å): 6.427 6.427 6.427
angles (deg): 148.56 148.56 45.06
Atoms (fractional coordinates):
Sr 0.000 0.000 0.000
In 0.718 0.718 0.000
Ir 0.328 0.328 0.000

Density in g cm⁻³: 9.1
E_form in meV per atom: -153



6.
A plane-wave DFT calculation with PBE was carried out for crystalline SrInIr2 at its relaxed geometry.

a b c (Å): 6.189 6.189 6.189
angles (deg): 151.86 132.48 56.14
Atoms (fractional coordinates):
Sr 0.000 0.000 0.000
In 0.293 0.793 0.500
Ir 0.518 0.518 0.000
Ir 0.716 0.216 0.500

Density in g cm⁻³: 11.9
E_form in meV per atom: 60



7.
A plane-wave DFT calculation with PBE was carried out for crystalline SrIn2Ir at its relaxed geometry.

a b c (Å): 6.391 6.391 6.391
angles (deg): 150.20 129.30 59.93
Atoms (fractional coordinates):
Sr 0.000 0.000 0.000
In 0.298 0.798 0.500
In 0.702 0.202 0.500
Ir 0.500 0.500 0.000

Density in g cm⁻³: 8.5
E_form in meV per atom: -153



8.
A plane-wave DFT calculation with PBE was carried out for crystalline Sr2InIr at its relaxed geometry.

a b c (Å): 6.987 6.987 6.987
angles (deg): 149.66 135.77 54.58
Atoms (fractional coordinates):
Sr 0.000 0.000 0.000
Sr 0.698 0.198 0.500
In 0.325 0.825 0.500
Ir 0.488 0.488 0.000

Density in g cm⁻³: 6.7
E_form in meV per atom: -173